[1]
Material: NbAu2IF
Method: DFT, meta-GGA SCAN
State: PBEsol geometry

Output
calculated density: 9.6 g/cm3
formation energy without anion corrections: -202 meV/atom
space-group type: P4/mmm, No. 123

Lattice parameters (Å, degrees): 5.1961 5.1961 4.0658 90.00 90.00 90.00
Fractional positions:
Nb: 0.0000 0.0000 0.0000
Au: 0.0000 0.5000 0.0000
Au: 0.5000 0.0000 0.0000
I: 0.5000 0.5000 0.5000
F: 0.0000 0.0000 0.5000

***

[2]
Material: PAuI2F
Method: DFT, meta-GGA SCAN
State: PBEsol geometry

Output
calculated density: 6.8 g/cm3
formation energy without anion corrections: 684 meV/atom
space-group type: P4/mmm, No. 123

Lattice parameters (Å, degrees): 5.5428 5.5428 3.9846 90.00 90.00 90.00
Fractional positions:
P: 0.0000 0.0000 0.0000
Au: 0.5000 0.5000 0.0000
I: 0.0000 0.5000 0.5000
I: 0.5000 0.0000 0.5000
F: 0.5000 0.5000 0.5000

***

[3]
Material: InAu3F
Method: DFT, meta-GGA SCAN
State: PBEsol geometry

Output
calculated density: 12.7 g/cm3
formation energy without anion corrections: 262 meV/atom
space-group type: Pm-3m, No. 221

Lattice parameters (Å, degrees): 4.5562 4.5562 4.5562 90.00 90.00 90.00
Fractional positions:
In: 0.0000 0.0000 0.0000
Au: 0.0000 0.5000 0.5000
Au: 0.5000 0.0000 0.5000
Au: 0.5000 0.5000 0.0000
F: 0.5000 0.5000 0.5000

***

[4]
Material: In3AuF
Method: DFT, meta-GGA SCAN
State: PBEsol geometry

Output
calculated density: 8.2 g/cm3
formation energy without anion corrections: -392 meV/atom
space-group type: Pm-3m, No. 221

Lattice parameters (Å, degrees): 4.8489 4.8489 4.8489 90.00 90.00 90.00
Fractional positions:
In: 0.0000 0.0000 0.5000
In: 0.0000 0.5000 0.0000
In: 0.5000 0.0000 0.0000
Au: 0.5000 0.5000 0.5000
F: 0.0000 0.0000 0.0000

***

[5]
Material: InAuNF2
Method: DFT, meta-GGA SCAN
State: PBEsol geometry

Output
calculated density: 8.3 g/cm3
formation energy without anion corrections: -447 meV/atom
space-group type: P4/mmm, No. 123

Lattice parameters (Å, degrees): 4.0669 4.0669 4.4131 90.00 90.00 90.00
Fractional positions:
In: 0.0000 0.0000 0.0000
Au: 0.5000 0.5000 0.5000
N: 0.0000 0.0000 0.5000
F: 0.0000 0.5000 0.0000
F: 0.5000 0.0000 0.0000

***

[6]
Material: InAuOF2
Method: DFT, meta-GGA SCAN
State: PBEsol geometry

Output
calculated density: 7.7 g/cm3
formation energy without anion corrections: -754 meV/atom
space-group type: P4/mmm, No. 123

Lattice parameters (Å, degrees): 4.4988 4.4988 3.9139 90.00 90.00 90.00
Fractional positions:
In: 0.0000 0.0000 0.0000
Au: 0.5000 0.5000 0.5000
O: 0.5000 0.5000 0.0000
F: 0.0000 0.5000 0.5000
F: 0.5000 0.0000 0.5000

***

[7]
Material: InAuO2F
Method: DFT, meta-GGA SCAN
State: PBEsol geometry

Output
calculated density: 8.5 g/cm3
formation energy without anion corrections: -662 meV/atom
space-group type: P4/mmm, No. 123

Lattice parameters (Å, degrees): 4.1523 4.1523 4.1052 90.00 90.00 90.00
Fractional positions:
In: 0.0000 0.0000 0.0000
Au: 0.5000 0.5000 0.5000
O: 0.0000 0.5000 0.0000
O: 0.5000 0.0000 0.0000
F: 0.0000 0.0000 0.5000

***

[8]
Material: Zr2InAuF
Method: DFT, meta-GGA SCAN
State: PBEsol geometry

Output
calculated density: 9.3 g/cm3
formation energy without anion corrections: -715 meV/atom
space-group type: P4/mmm, No. 123

Lattice parameters (Å, degrees): 4.3492 4.3492 4.8464 90.00 90.00 90.00
Fractional positions:
Zr: 0.0000 0.5000 0.0000
Zr: 0.5000 0.0000 0.0000
In: 0.0000 0.0000 0.5000
Au: 0.5000 0.5000 0.5000
F: 0.0000 0.0000 0.0000

***

[9]
Material: IrAuF3
Method: DFT, meta-GGA SCAN
State: PBEsol geometry

Output
calculated density: 9.4 g/cm3
polymorph energy (0 for the lowest one): 3.68 eV per formula unit
formation energy without anion corrections: 343 meV/atom
space-group type: Pm-3m, No. 221

Lattice parameters (Å, degrees): 4.2860 4.2860 4.2860 90.00 90.00 90.00
Fractional positions:
Ir: 0.0000 0.0000 0.0000
Au: 0.5000 0.5000 0.5000
F: 0.0000 0.5000 0.5000
F: 0.5000 0.0000 0.5000
F: 0.5000 0.5000 0.0000

***

[10]
Material: IrAuF3
Method: DFT, meta-GGA SCAN
State: PBEsol geometry

Output
calculated density: 10.5 g/cm3
polymorph energy (0 for the lowest one): 0.00 eV per formula unit
formation energy without anion corrections: -394 meV/atom
space-group type: Pm-3m, No. 221

Lattice parameters (Å, degrees): 4.1291 4.1291 4.1291 90.00 90.00 90.00
Fractional positions:
Ir: 0.0000 0.0000 0.0000
Au: 0.5000 0.5000 0.5000
F: 0.0000 0.0000 0.5000
F: 0.0000 0.5000 0.0000
F: 0.5000 0.0000 0.0000

***

[11]
Material: IrAuNF2
Method: DFT, meta-GGA SCAN
State: PBEsol geometry

Output
calculated density: 10.0 g/cm3
formation energy without anion corrections: 1196 meV/atom
space-group type: P4/mmm, No. 123

Lattice parameters (Å, degrees): 4.4631 4.4631 3.6876 90.00 90.00 90.00
Fractional positions:
Ir: 0.0000 0.0000 0.0000
Au: 0.5000 0.5000 0.5000
N: 0.5000 0.5000 0.0000
F: 0.0000 0.5000 0.5000
F: 0.5000 0.0000 0.5000

***

[12]
Material: IrAuN2F
Method: DFT, meta-GGA SCAN
State: PBEsol geometry

Output
calculated density: 11.5 g/cm3
polymorph energy (0 for the lowest one): 6.29 eV per formula unit
formation energy without anion corrections: 2082 meV/atom
space-group type: P4/mmm, No. 123

Lattice parameters (Å, degrees): 3.9965 3.9965 3.9553 90.00 90.00 90.00
Fractional positions:
Ir: 0.0000 0.0000 0.0000
Au: 0.5000 0.5000 0.5000
N: 0.0000 0.5000 0.5000
N: 0.5000 0.0000 0.5000
F: 0.5000 0.5000 0.0000

***

Computed values of raw total energy (unit: eV per cell) for the preceding records, in sequence: -212.74; -153.16; -243.09; -174.82; -121.15; -119.62; -121.85; -171.06; -149.16; -152.84; -150.65; -151.97.